(w)
A plane-wave DFT calculation with GGA-PBE was carried out for a geometry-optimized InSiF2 structure.

Summary:
- calculated density (kg/m3) = 4783
- SG = No. 122
- size of the total moment (Bohr magnetons per cell) = 0.0

a b c (Å): 4.004 4.004 8.331
angles (deg): 76.10 76.10 90.00
Atoms (fractional coordinates):
In 0.750 0.250 0.500
F 0.156 0.625 0.250
F 0.375 0.406 0.750
Si 0.500 0.500 0.000
F 0.594 0.125 0.250
Si 0.250 0.750 0.500
In 0.000 0.000 0.000
F 0.875 0.844 0.750



(x)
A plane-wave DFT calculation with GGA-PBE was carried out for a geometry-optimized InSiF2 structure.

Summary:
- calculated density (kg/m3) = 4698
- SG = No. 225
- size of the total moment (Bohr magnetons per cell) = 0.0

a b c (Å): 4.488 4.488 4.488
angles (deg): 60.00 60.00 60.00
Atoms (fractional coordinates):
F 0.750 0.750 0.750
F 0.250 0.250 0.250
In 0.500 0.500 0.500
Si 0.000 0.000 0.000



(y)
A plane-wave DFT calculation with GGA-PBE was carried out for a geometry-optimized InSiF2 structure.

Summary:
- calculated density (kg/m3) = 4767
- SG = No. 166
- size of the total moment (Bohr magnetons per cell) = 0.0

a b c (Å): 8.344 8.344 8.344
angles (deg): 20.61 20.61 20.61
Atoms (fractional coordinates):
In 0.500 0.500 0.500
F 0.072 0.072 0.072
F 0.928 0.928 0.928
Si 0.000 0.000 0.000



(z)
A plane-wave DFT calculation with GGA-PBE was carried out for a geometry-optimized InSiF2 structure.

Summary:
- calculated density (kg/m3) = 4839
- SG = No. 166
- size of the total moment (Bohr magnetons per cell) = 0.0

a b c (Å): 8.370 8.370 8.370
angles (deg): 20.35 20.35 20.35
Atoms (fractional coordinates):
Si 0.500 0.500 0.500
F 0.910 0.910 0.910
F 0.090 0.090 0.090
In 0.000 0.000 0.000



Stability check: which of them is least stable? (x).



(w)
A plane-wave DFT calculation with GGA-PBE was carried out for a geometry-optimized InSiF3 structure.

Summary:
- calculated density (kg/m3) = 3970
- SG = No. 221
- size of the total moment (Bohr magnetons per cell) = 0.0

a b c (Å): 4.373 4.373 4.373
angles (deg): 90.00 90.00 90.00
Atoms (fractional coordinates):
In 0.500 0.500 0.500
F 0.000 0.500 0.000
F 0.500 0.000 0.000
Si 0.000 0.000 0.000
F 0.000 0.000 0.500



(x)
A plane-wave DFT calculation with GGA-PBE was carried out for a geometry-optimized InSiF3 structure.

Summary:
- calculated density (kg/m3) = 3908
- SG = No. 221
- size of the total moment (Bohr magnetons per cell) = 0.0

a b c (Å): 4.396 4.396 4.396
angles (deg): 90.00 90.00 90.00
Atoms (fractional coordinates):
Si 0.500 0.500 0.500
F 0.500 0.000 0.000
F 0.000 0.000 0.500
F 0.000 0.500 0.000
In 0.000 0.000 0.000



Stability check: which of them is least stable? (x).



(w)
A plane-wave DFT calculation with GGA-PBE was carried out for a geometry-optimized In2SiSnF structure.

Summary:
- calculated density (kg/m3) = 4366
- SG = No. 123
- size of the total moment (Bohr magnetons per cell) = 0.0

a b c (Å): 5.380 5.197 5.380
angles (deg): 90.00 90.00 90.00
Atoms (fractional coordinates):
F 0.500 0.500 0.500
Si 0.000 0.000 0.000
In 0.000 0.000 0.500
In 0.500 0.000 0.000
Sn 0.000 0.500 0.000



(x)
A plane-wave DFT calculation with GGA-PBE was carried out for a geometry-optimized In2SiSnF structure.

Summary:
- calculated density (kg/m3) = 5552
- SG = No. 123
- size of the total moment (Bohr magnetons per cell) = 0.0

a b c (Å): 5.299 4.213 5.299
angles (deg): 90.00 90.00 90.00
Atoms (fractional coordinates):
Sn 0.500 0.500 0.500
F 0.000 0.000 0.000
Si 0.000 0.500 0.000
In 0.000 0.000 0.500
In 0.500 0.000 0.000



Stability check: which of them is least stable? (w).



(w)
A plane-wave DFT calculation with GGA-PBE was carried out for a geometry-optimized InSn2F structure.

Summary:
- calculated density (kg/m3) = 6937
- SG = No. 225
- size of the total moment (Bohr magnetons per cell) = 0.0

a b c (Å): 5.009 5.009 5.009
angles (deg): 60.00 60.00 60.00
Atoms (fractional coordinates):
Sn 0.750 0.750 0.750
Sn 0.250 0.250 0.250
F 0.000 0.000 0.000
In 0.500 0.500 0.500



(x)
A plane-wave DFT calculation with GGA-PBE was carried out for a geometry-optimized InSn2F structure.

Summary:
- calculated density (kg/m3) = 5636
- SG = No. 122
- size of the total moment (Bohr magnetons per cell) = 0.0

a b c (Å): 5.165 5.165 8.977
angles (deg): 73.28 73.28 90.00
Atoms (fractional coordinates):
F 0.500 0.500 0.000
Sn 0.875 0.777 0.750
Sn 0.375 0.473 0.750
Sn 0.223 0.625 0.250
In 0.000 0.000 0.000
F 0.250 0.750 0.500
In 0.750 0.250 0.500
Sn 0.527 0.125 0.250



Stability check: which of them is least stable? (x).



(w)
A plane-wave DFT calculation with GGA-PBE was carried out for a geometry-optimized In3SnF structure.

Summary:
- calculated density (kg/m3) = 3878
- SG = No. 221
- size of the total moment (Bohr magnetons per cell) = 0.0

a b c (Å): 5.910 5.910 5.910
angles (deg): 90.00 90.00 90.00
Atoms (fractional coordinates):
In 0.000 0.500 0.000
In 0.000 0.000 0.500
Sn 0.000 0.000 0.000
F 0.500 0.500 0.500
In 0.500 0.000 0.000



(x)
A plane-wave DFT calculation with GGA-PBE was carried out for a geometry-optimized In3SnF structure.

Summary:
- calculated density (kg/m3) = 6186
- SG = No. 221
- size of the total moment (Bohr magnetons per cell) = 0.0

a b c (Å): 5.058 5.058 5.058
angles (deg): 90.00 90.00 90.00
Atoms (fractional coordinates):
Sn 0.500 0.500 0.500
F 0.000 0.000 0.000
In 0.000 0.500 0.000
In 0.500 0.000 0.000
In 0.000 0.000 0.500



Stability check: which of them is least stable? (w).



(w)
A plane-wave DFT calculation with GGA-PBE was carried out for a geometry-optimized Sr2InF2 structure.

Summary:
- calculated density (kg/m3) = 4549
- SG = No. 127
- size of the total moment (Bohr magnetons per cell) = 0.0

a b c (Å): 8.471 8.471 3.338
angles (deg): 90.00 90.00 90.00
Atoms (fractional coordinates):
In 0.000 0.000 0.000
Sr 0.142 0.642 0.500
F 0.100 0.400 0.000
Sr 0.858 0.358 0.500
Sr 0.358 0.142 0.500
F 0.400 0.900 0.000
In 0.500 0.500 0.000
F 0.900 0.600 0.000
Sr 0.642 0.858 0.500
F 0.600 0.100 0.000



(x)
A plane-wave DFT calculation with GGA-PBE was carried out for a geometry-optimized Sr2InF2 structure.

Summary:
- calculated density (kg/m3) = 4158
- SG = No. 139
- size of the total moment (Bohr magnetons per cell) = 0.0

a b c (Å): 5.236 5.236 6.046
angles (deg): 64.34 64.34 90.00
Atoms (fractional coordinates):
In 0.000 0.000 0.000
F 0.726 0.726 0.549
F 0.274 0.274 0.451
Sr 0.250 0.750 0.500
Sr 0.750 0.250 0.500



Stability check: which of them is least stable? (w).



(w)
A plane-wave DFT calculation with GGA-PBE was carried out for a geometry-optimized SrIn2F8 structure.

Summary:
- calculated density (kg/m3) = 3995
- SG = No. 147
- size of the total moment (Bohr magnetons per cell) = 0.0

a b c (Å): 4.283 7.251 7.253
angles (deg): 120.01 90.00 90.01
Atoms (fractional coordinates):
F 0.738 0.826 0.171
F 0.262 0.171 0.345
In 0.267 0.333 0.667
F 0.738 0.345 0.173
F 0.765 0.333 0.667
F 0.235 0.667 0.333
Sr 0.000 0.000 0.000
F 0.738 0.829 0.655
F 0.262 0.655 0.827
In 0.733 0.667 0.333
F 0.262 0.174 0.829



(x)
A plane-wave DFT calculation with GGA-PBE was carried out for a geometry-optimized SrIn2F8 structure.

Summary:
- calculated density (kg/m3) = 5553
- SG = No. 12
- size of the total moment (Bohr magnetons per cell) = 0.0

a b c (Å): 4.166 6.086 6.086
angles (deg): 112.44 95.74 95.74
Atoms (fractional coordinates):
F 0.930 0.674 0.949
F 0.930 0.949 0.674
F 0.715 0.386 0.386
In 0.000 0.323 0.677
F 0.285 0.614 0.614
Sr 0.500 0.000 0.000
F 0.070 0.051 0.326
F 0.500 0.254 0.746
F 0.070 0.326 0.051
In 0.000 0.677 0.323
F 0.500 0.746 0.254



Stability check: which of them is least stable? (w).



(w)
A plane-wave DFT calculation with GGA-PBE was carried out for a geometry-optimized Sr2InF8 structure.

Summary:
- calculated density (kg/m3) = 4849
- SG = No. 12
- size of the total moment (Bohr magnetons per cell) = 1.1

a b c (Å): 4.108 5.577 7.405
angles (deg): 110.86 106.10 90.00
Atoms (fractional coordinates):
F 0.643 0.952 0.285
F 0.225 0.301 0.450
F 0.012 0.792 0.024
In 0.500 0.000 0.000
F 0.775 0.699 0.550
F 0.357 0.048 0.715
Sr 0.834 0.325 0.667
F 0.404 0.600 0.807
F 0.596 0.400 0.193
F 0.988 0.208 0.976
Sr 0.166 0.675 0.333



(x)
A plane-wave DFT calculation with GGA-PBE was carried out for a geometry-optimized Sr2InF8 structure.

Summary:
- calculated density (kg/m3) = 4649
- SG = No. 12
- size of the total moment (Bohr magnetons per cell) = 1.1

a b c (Å): 3.816 6.321 7.017
angles (deg): 103.65 105.78 90.00
Atoms (fractional coordinates):
F 0.991 0.186 0.982
F 0.349 0.022 0.698
F 0.651 0.978 0.302
Sr 0.177 0.691 0.353
F 0.009 0.814 0.018
F 0.218 0.332 0.436
Sr 0.823 0.309 0.647
F 0.572 0.475 0.144
In 0.500 0.000 0.000
F 0.782 0.668 0.564
F 0.428 0.525 0.856



Stability check: which of them is least stable? (x).



(w)
A plane-wave DFT calculation with GGA-PBE was carried out for a geometry-optimized SrIn2F structure.

Summary:
- calculated density (kg/m3) = 5010
- SG = No. 225
- size of the total moment (Bohr magnetons per cell) = 0.0

a b c (Å): 5.402 5.402 5.402
angles (deg): 60.00 60.00 60.00
Atoms (fractional coordinates):
In 0.250 0.250 0.250
In 0.750 0.750 0.750
F 0.000 0.000 0.000
Sr 0.500 0.500 0.500



(x)
A plane-wave DFT calculation with GGA-PBE was carried out for a geometry-optimized SrIn2F structure.

Summary:
- calculated density (kg/m3) = 5075
- SG = No. 122
- size of the total moment (Bohr magnetons per cell) = 0.0

a b c (Å): 4.039 4.039 13.786
angles (deg): 81.58 81.58 90.00
Atoms (fractional coordinates):
Sr 0.750 0.250 0.500
In 0.875 0.876 0.750
In 0.124 0.625 0.250
In 0.626 0.125 0.250
Sr 0.000 0.000 0.000
F 0.500 0.500 0.000
In 0.375 0.374 0.750
F 0.250 0.750 0.500



Stability check: which of them is least stable? (w).



(w)
A plane-wave DFT calculation with GGA-PBE was carried out for a geometry-optimized Ta2InF2 structure.

Summary:
- calculated density (kg/m3) = 11377
- SG = No. 139
- size of the total moment (Bohr magnetons per cell) = 0.0

a b c (Å): 3.509 3.509 6.587
angles (deg): 74.55 74.55 90.00
Atoms (fractional coordinates):
F 0.750 0.250 0.500
Ta 0.618 0.618 0.764
In 0.000 0.000 0.000
Ta 0.382 0.382 0.236
F 0.250 0.750 0.500



(x)
A plane-wave DFT calculation with GGA-PBE was carried out for a geometry-optimized Ta2InF2 structure.

Summary:
- calculated density (kg/m3) = 10142
- SG = No. 127
- size of the total moment (Bohr magnetons per cell) = 0.0

a b c (Å): 7.580 7.580 2.934
angles (deg): 90.00 90.00 90.00
Atoms (fractional coordinates):
In 0.000 0.000 0.000
F 0.385 0.115 0.500
Ta 0.871 0.629 0.000
F 0.885 0.385 0.500
In 0.500 0.500 0.000
Ta 0.371 0.871 0.000
F 0.615 0.885 0.500
Ta 0.129 0.371 0.000
F 0.115 0.615 0.500
Ta 0.629 0.129 0.000



Stability check: which of them is least stable? (x).



(w)
A plane-wave DFT calculation with GGA-PBE was carried out for a geometry-optimized TaInF2 structure.

Summary:
- calculated density (kg/m3) = 7032
- SG = No. 166
- size of the total moment (Bohr magnetons per cell) = 0.0

a b c (Å): 9.428 9.428 9.428
angles (deg): 19.15 19.15 19.15
Atoms (fractional coordinates):
In 0.500 0.500 0.500
F 0.069 0.069 0.069
Ta 0.000 0.000 0.000
F 0.931 0.931 0.931



(x)
A plane-wave DFT calculation with GGA-PBE was carried out for a geometry-optimized TaInF2 structure.

Summary:
- calculated density (kg/m3) = 8379
- SG = No. 122
- size of the total moment (Bohr magnetons per cell) = 0.0

a b c (Å): 4.281 4.281 7.828
angles (deg): 74.13 74.13 90.00
Atoms (fractional coordinates):
Ta 0.750 0.250 0.500
F 0.875 0.034 0.750
F 0.375 0.216 0.750
F 0.966 0.625 0.250
In 0.250 0.750 0.500
F 0.784 0.125 0.250
Ta 0.000 0.000 0.000
In 0.500 0.500 0.000



(y)
A plane-wave DFT calculation with GGA-PBE was carried out for a geometry-optimized TaInF2 structure.

Summary:
- calculated density (kg/m3) = 9195
- SG = No. 225
- size of the total moment (Bohr magnetons per cell) = 0.0

a b c (Å): 4.401 4.401 4.401
angles (deg): 60.00 60.00 60.00
Atoms (fractional coordinates):
Ta 0.500 0.500 0.500
F 0.250 0.250 0.250
In 0.000 0.000 0.000
F 0.750 0.750 0.750



Stability check: which of them is least stable? (y).



(w)
A plane-wave DFT calculation with GGA-PBE was carried out for a geometry-optimized TaInF3 structure.

Summary:
- calculated density (kg/m3) = 7033
- SG = No. 221
- size of the total moment (Bohr magnetons per cell) = 2.7

a b c (Å): 4.367 4.367 4.367
angles (deg): 90.00 90.00 90.00
Atoms (fractional coordinates):
F 0.500 0.000 0.000
F 0.000 0.000 0.500
Ta 0.000 0.000 0.000
In 0.500 0.500 0.500
F 0.000 0.500 0.000



(x)
A plane-wave DFT calculation with GGA-PBE was carried out for a geometry-optimized TaInF3 structure.

Summary:
- calculated density (kg/m3) = 6617
- SG = No. 221
- size of the total moment (Bohr magnetons per cell) = 3.8

a b c (Å): 4.457 4.457 4.457
angles (deg): 90.00 90.00 90.00
Atoms (fractional coordinates):
F 0.500 0.000 0.000
Ta 0.500 0.500 0.500
In 0.000 0.000 0.000
F 0.000 0.000 0.500
F 0.000 0.500 0.000



Stability check: which of them is least stable? (x).